Compound: KNbAgSn2
Source: the Alexandria database
Functional: PBE
Structure: relaxed

abc: 5.367 5.367 5.491
angles: 90.00 90.00 90.00
Positions (direct):
Ag: 0.000 0.000 0.000
Nb: 0.000 0.000 0.500
K: 0.500 0.500 0.500
Sn: 0.000 0.500 0.000
Sn: 0.500 0.000 0.000

Calculated values
The symmetry is P4/mmm, No. 123. Its crystal system is tetragonal. Its total energy is -17.80 eV per cell. The magnetization comes out at 0.663 μB per atom.

=====

Compound: KNb2AgTe
Source: the Alexandria database
Functional: PBE
Structure: relaxed

abc: 4.827 5.224 4.827
angles: 90.00 90.00 90.00
Positions (direct):
K: 0.000 0.000 0.000
Te: 0.500 0.500 0.500
Nb: 0.500 0.000 0.000
Nb: 0.000 0.000 0.500
Ag: 0.000 0.500 0.000

Calculated values
The symmetry is P4/mmm, No. 123. Its crystal system is tetragonal. Its total energy is -15.70 eV per cell. The magnetization comes out at 0.000 μB per atom.

=====

Compound: KNdAg10
Source: the Alexandria database
Functional: PBE
Structure: relaxed

abc: 4.694 5.667 9.945
angles: 90.00 90.00 90.00
Positions (direct):
Ag: 0.000 0.500 0.825
Ag: 0.500 0.744 0.259
Ag: 0.000 0.000 0.661
Ag: 0.500 0.744 0.741
Ag: 0.000 0.000 0.339
Ag: 0.500 0.500 0.000
Ag: 0.000 0.500 0.175
Ag: 0.500 0.256 0.259
Ag: 0.500 0.256 0.741
Ag: 0.500 0.000 0.500
K: 0.000 0.000 0.000
Nd: 0.000 0.500 0.500

Calculated values
The symmetry is Pmmm, No. 47. Its crystal system is orthorhombic. Its total energy is -34.97 eV per cell. The magnetization comes out at 0.000 μB per atom.

=====

Compound: KNdAg4
Source: the Alexandria database
Functional: PBE
Structure: relaxed

abc: 5.859 5.859 5.859
angles: 60.00 60.00 60.00
Positions (direct):
Nd: 0.250 0.250 0.250
Ag: 0.625 0.625 0.124
Ag: 0.625 0.124 0.625
Ag: 0.124 0.625 0.625
Ag: 0.625 0.625 0.625
K: 0.000 0.000 0.000

Calculated values
The symmetry is F-43m, No. 216. Its crystal system is cubic. Its total energy is -17.14 eV per cell. The magnetization comes out at 0.000 μB per atom.

=====

Compound: KNdAgO2
Source: the Alexandria database
Functional: PBE
Structure: relaxed

abc: 6.294 6.792 6.826
angles: 78.59 90.00 90.00
Positions (direct):
Nd: 0.473 0.000 0.250
Nd: 0.527 0.000 0.750
O: 0.342 0.170 0.947
O: 0.342 0.830 0.553
O: 0.658 0.170 0.447
O: 0.658 0.830 0.053
Ag: 0.000 0.000 0.500
Ag: 0.000 0.000 0.000
K: 0.186 0.500 0.750
K: 0.814 0.500 0.250

Calculated values
The symmetry is P2/c, No. 13. Its crystal system is monoclinic. Its total energy is -52.87 eV per cell. The magnetization comes out at 0.000 μB per atom.

=====

Compound: KNd2AgO5
Source: the Alexandria database
Functional: PBE
Structure: relaxed

abc: 6.005 6.835 6.835
angles: 90.00 90.00 90.00
Positions (direct):
O: 0.500 0.000 0.000
O: 0.744 0.135 0.635
O: 0.256 0.865 0.365
O: 0.256 0.365 0.135
O: 0.256 0.635 0.865
O: 0.744 0.865 0.365
O: 0.256 0.135 0.635
O: 0.744 0.635 0.865
O: 0.500 0.500 0.500
O: 0.744 0.365 0.135
Nd: 0.500 0.823 0.677
Nd: 0.500 0.323 0.823
Nd: 0.500 0.177 0.323
Nd: 0.500 0.677 0.177
Ag: 0.000 0.000 0.500
Ag: 0.000 0.500 0.000
K: 0.000 0.500 0.500
K: 0.000 0.000 0.000

Calculated values
The symmetry is P4/mbm, No. 127. Its crystal system is tetragonal. Its total energy is -114.84 eV per cell. The magnetization comes out at 0.000 μB per atom.

=====

Compound: KNdAgS2
Source: the Alexandria database
Functional: PBE
Structure: relaxed

abc: 5.089 7.398 8.060
angles: 100.02 90.00 90.00
Positions (direct):
K: 0.140 0.500 0.750
K: 0.860 0.500 0.250
Nd: 0.508 0.000 0.750
Nd: 0.492 0.000 0.250
Ag: 0.000 0.000 0.500
Ag: 0.000 0.000 0.000
S: 0.646 0.246 0.537
S: 0.646 0.754 0.963
S: 0.354 0.754 0.463
S: 0.354 0.246 0.037

Calculated values
The symmetry is P2/c, No. 13. Its crystal system is monoclinic. Its total energy is -44.64 eV per cell. The magnetization comes out at 0.000 μB per atom.

=====

Compound: KNd2AgTe4
Source: the Alexandria database
Functional: PBE
Structure: relaxed

abc: 4.551 7.975 16.037
angles: 90.00 90.00 106.58
Positions (direct):
Nd: 0.367 0.735 0.569
Nd: 0.633 0.265 0.069
Nd: 0.633 0.265 0.431
Nd: 0.367 0.735 0.931
Te: 0.549 0.098 0.250
Te: 0.000 0.000 0.500
Te: 0.451 0.902 0.750
Te: 0.730 0.460 0.890
Te: 0.270 0.540 0.390
Te: 0.270 0.540 0.110
Te: 0.000 0.000 0.000
Te: 0.730 0.460 0.610
Ag: 0.156 0.313 0.250
Ag: 0.844 0.687 0.750
K: 0.123 0.246 0.750
K: 0.877 0.754 0.250

Calculated values
The symmetry is Cmcm, No. 63. Its crystal system is orthorhombic. Its total energy is -71.02 eV per cell. The magnetization comes out at 0.000 μB per atom.

=====

Compound: KNdAgTe2
Source: the Alexandria database
Functional: PBE
Structure: relaxed

abc: 4.987 8.291 8.905
angles: 96.80 90.00 90.00
Positions (direct):
K: 0.114 0.500 0.750
K: 0.886 0.500 0.250
Nd: 0.505 0.000 0.750
Nd: 0.495 0.000 0.250
Te: 0.634 0.744 0.973
Te: 0.366 0.256 0.027
Te: 0.634 0.256 0.527
Te: 0.366 0.744 0.473
Ag: 0.000 0.000 0.500
Ag: 0.000 0.000 0.000

Calculated values
The symmetry is P2/c, No. 13. Its crystal system is monoclinic. Its total energy is -38.24 eV per cell. The magnetization comes out at 0.000 μB per atom.

=====

Compound: K2NiAg
Source: the Alexandria database
Functional: PBE
Structure: relaxed

abc: 10.697 10.697 10.697
angles: 18.61 18.61 18.61
Positions (direct):
Ni: 0.250 0.250 0.250
Ag: 0.750 0.750 0.750
K: 0.505 0.505 0.505
K: 0.995 0.995 0.995

Calculated values
The symmetry is R-3m, No. 166. Its crystal system is trigonal. Its total energy is -8.00 eV per cell. The magnetization comes out at 0.005 μB per atom.

=====

Compound: K2NiAg
Source: the Alexandria database
Functional: PBE
Structure: relaxed

abc: 4.417 4.417 9.182
angles: 76.50 76.50 59.95
Positions (direct):
K: 0.793 0.793 0.630
K: 0.957 0.957 0.120
Ni: 0.542 0.542 0.375
Ag: 0.208 0.208 0.375

Calculated values
The symmetry is Cm, No. 8. Its crystal system is monoclinic. Its total energy is -9.55 eV per cell. The magnetization comes out at 0.000 μB per atom.

=====

Compound: K3NiAg
Source: the Alexandria database
Functional: PBE
Structure: relaxed

abc: 6.041 6.041 6.041
angles: 90.00 90.00 90.00
Positions (direct):
K: 0.000 0.500 0.000
K: 0.500 0.000 0.000
K: 0.000 0.000 0.500
Ag: 0.500 0.500 0.500
Ni: 0.000 0.000 0.000

Calculated values
The symmetry is Pm-3m, No. 221. Its crystal system is cubic. Its total energy is -9.40 eV per cell. The magnetization comes out at 0.000 μB per atom.

=====

Which of these has the highest magnetization?
KNbAgSn2